No. 1
## Tl6Bi3Pb (GGA-PBE)

Data for Tl6Bi3Pb after structural relaxation.

Cell and atoms, written as POSCAR:
```
Tl6Bi3Pb
1.0
-3.274 2.976 -2.764
-3.311 -9.001 -5.769
-7.099 2.494 11.093
Bi Tl Pb
6 12 2
Direct
0.750 0.084 0.994 Bi
0.250 0.593 0.193 Bi
0.250 0.251 0.412 Bi
0.750 0.749 0.588 Bi
0.250 0.916 0.006 Bi
0.750 0.407 0.807 Bi
0.250 0.234 0.902 Tl
0.250 0.568 0.436 Tl
0.750 0.080 0.451 Tl
0.750 0.416 0.065 Tl
0.750 0.746 0.344 Tl
0.750 0.739 0.826 Tl
0.750 0.432 0.564 Tl
0.250 0.254 0.656 Tl
0.250 0.261 0.174 Tl
0.750 0.766 0.098 Tl
0.250 0.584 0.935 Tl
0.250 0.920 0.549 Tl
0.750 0.068 0.744 Pb
0.250 0.932 0.256 Pb
```

Computed properties:
Magnetic moment = 0.0 Bohr magnetons per cell
Symmetry = P2_1/m
Energy relative to the elements = 21 meV/atom


No. 2
## Ho3Pu3ScSe8 (GGA-PBE)

Data for Ho3Pu3ScSe8 after structural relaxation.

Cell and atoms, written as POSCAR:
```
Ho3Pu3ScSe8
1.0
8.134 0.000 0.000
-4.067 7.045 -0.024
0.000 -4.674 6.705
Se Ho Pu Sc
8 3 3 1
Direct
0.757 0.513 0.262 Se
0.243 0.487 0.738 Se
0.752 0.995 0.738 Se
0.748 0.496 0.744 Se
0.243 0.995 0.738 Se
0.757 0.005 0.262 Se
0.248 0.005 0.262 Se
0.252 0.504 0.256 Se
0.500 0.500 0.500 Ho
0.000 0.500 0.500 Ho
0.500 0.000 0.500 Ho
0.500 0.500 0.000 Pu
0.000 0.000 0.000 Pu
0.000 0.500 0.000 Pu
0.000 0.000 0.500 Sc
```

Computed properties:
Formation energy (no corrections) = -25.44 eV/f.u.
Magnetic moment = 17.5 Bohr magnetons per cell
Symmetry = R-3m